No. 1
Here is a geometry-optimized LaTbSi3 structure from the Alexandria database. Energies are from PBE.

abc: 4.384 24.758 3.982
angles: 90.00 90.00 90.00
Space group Cmcm (No. 63)
Inequivalent atoms, fractional coordinates:
La: 0.000 0.071 0.250 x4
Tb: 0.000 0.202 0.750 x4
Si: 0.000 0.321 0.750 x4
Si: 0.000 0.379 0.250 x4
Si: 0.000 0.475 0.250 x4

Summary:
DFT total energy ... -5.9039 eV per atom
Formation energy from raw total energies ... -0.74 eV per atom
DOS(E_F) ... 0.359 states/eV per atom

No. 2
Here is a geometry-optimized Ag4BrCl2F2 structure from the Alexandria database. Energies are from PBE.

abc: 17.970 3.887 6.218
angles: 90.00 92.66 90.00
Space group C2/m (No. 12)
Inequivalent atoms, fractional coordinates:
Ag: 0.087 0.000 0.194 x4
Ag: 0.226 0.500 0.760 x4
Br: 0.000 0.500 0.000 x2
Cl: 0.148 0.500 0.421 x4
F: 0.188 0.000 0.951 x4

Summary:
DFT total energy ... -2.9190 eV per atom
Formation energy from raw total energies ... -0.64 eV per atom
DOS(E_F) ... 0.711 states/eV per atom

No. 3
Here is a geometry-optimized CaAs6Pd12 structure from the Alexandria database. Energies are from PBE.

abc: 11.5673 11.5673 8.7846
angles: 90.00 90.00 120.00
Space group R-3m (No. 166, hexagonal axes)
Inequivalent atoms, fractional coordinates:
Ca: 0.0000 0.0000 0.0000 x3
As: 0.0464 0.5232 0.2741 x18
Pd: 0.0000 0.3758 0.5000 x18
Pd: 0.0860 0.1721 0.3366 x18

Summary:
Energy of formation from the pure elements ... -0.369 eV per atom
DFT total energy ... -5.2222 eV per atom
DOS(E_F) ... 0.511 states/eV per atom